Entry from Alexandria: a PBEsol-optimized structure of SbIrSe2 (SCAN).

Values from the calculation:
DOS(E_F) = 0.4543 states/eV per atom
Size of the total moment = 0.00 μB per formula unit
Energy relative to the elements, uncorrected = -38 kJ/mol of formula units

abc: 3.5683 5.0054 5.0054
angles: 115.81 90.00 90.00
Fractional positions:
Ir 0.5000 0.5000 0.5000
Se 0.0000 0.7031 0.2969
Se 0.0000 0.2969 0.7031
Sb 0.5000 0.0000 0.0000

Entry from Alexandria: a PBEsol-optimized structure of SbIrSe2 (SCAN).

Values from the calculation:
DOS(E_F) = 0.6420 states/eV per atom
Size of the total moment = 0.00 μB per formula unit
Energy relative to the elements, uncorrected = 161 kJ/mol of formula units

abc: 3.0548 3.0548 8.6152
angles: 90.00 90.00 90.00
Fractional positions:
Se 0.0000 0.0000 0.8188
Se 0.0000 0.0000 0.1812
Ir 0.5000 0.5000 0.0000
Sb 0.5000 0.5000 0.5000

Entry from Alexandria: a PBEsol-optimized structure of SbIrSe2 (SCAN).

Values from the calculation:
DOS(E_F) = 0.4927 states/eV per atom
Size of the total moment = 0.00 μB per formula unit
Energy relative to the elements, uncorrected = -11 kJ/mol of formula units

abc: 3.5526 3.5526 8.1391
angles: 77.39 77.39 60.00
Fractional positions:
Se 0.7747 0.7747 0.6758
Se 0.2253 0.2253 0.3242
Sb 0.0000 0.0000 0.0000
Ir 0.5000 0.5000 0.5000

Entry from Alexandria: a PBEsol-optimized structure of SbIrSe2 (SCAN).

Values from the calculation:
DOS(E_F) = 0.5402 states/eV per atom
Size of the total moment = 0.00 μB per formula unit
Energy relative to the elements, uncorrected = -20 kJ/mol of formula units

abc: 3.6713 3.6700 7.5010
angles: 104.06 90.00 120.01
Fractional positions:
Se 0.7719 0.5438 0.3143
Ir 0.4948 0.9897 0.4843
Se 0.9919 0.9837 0.9770
Sb 0.2414 0.4828 0.7244

Entry from Alexandria: a PBEsol-optimized structure of SbIr2Se (SCAN).

Values from the calculation:
DOS(E_F) = 0.5740 states/eV per atom
Size of the total moment = 0.00 μB per formula unit
Energy relative to the elements, uncorrected = 249 kJ/mol of formula units

abc: 2.9270 5.0471 5.4123
angles: 117.79 105.69 90.00
Fractional positions:
Sb 0.0000 0.5000 0.0000
Ir 0.2435 0.2435 0.4870
Ir 0.7565 0.7565 0.5130
Se 0.5000 0.0000 0.0000

Entry from Alexandria: a PBEsol-optimized structure of SiSbIr2 (SCAN).

Values from the calculation:
DOS(E_F) = 0.6573 states/eV per atom
Size of the total moment = 0.00 μB per formula unit
Energy relative to the elements, uncorrected = 181 kJ/mol of formula units

abc: 2.9997 4.9856 5.2018
angles: 118.44 106.47 90.58
Fractional positions:
Si 0.5000 0.5000 0.0000
Sb 0.0000 0.0000 0.0000
Ir 0.5000 0.5000 0.5000
Ir 0.0000 0.0000 0.5000

Entry from Alexandria: a PBEsol-optimized structure of SiSbIr (SCAN).

Values from the calculation:
DOS(E_F) = 0.5321 states/eV per atom
Size of the total moment = 0.00 μB per formula unit
Energy relative to the elements, uncorrected = -20 kJ/mol of formula units

abc: 3.5092 3.5092 5.2852
angles: 90.00 90.00 120.00
Fractional positions:
Sb 0.3333 0.6667 0.6918
Ir 0.0000 0.0000 0.0402
Si 0.6667 0.3333 0.2680

Entry from Alexandria: a PBEsol-optimized structure of SiSb2Ir (SCAN).

Values from the calculation:
DOS(E_F) = 0.5562 states/eV per atom
Size of the total moment = 0.00 μB per formula unit
Energy relative to the elements, uncorrected = -15 kJ/mol of formula units

abc: 4.0795 4.0795 6.3772
angles: 71.35 71.35 60.00
Fractional positions:
Si 0.5380 0.5380 0.3860
Sb 0.9742 0.9742 0.0775
Ir 0.2134 0.2134 0.3599
Sb 0.7745 0.7745 0.6766

Entry from Alexandria: a PBEsol-optimized structure of SiSb2Ir (SCAN).

Values from the calculation:
DOS(E_F) = 0.5284 states/eV per atom
Size of the total moment = 0.00 μB per formula unit
Energy relative to the elements, uncorrected = 230 kJ/mol of formula units

abc: 3.2264 4.9082 4.9082
angles: 99.41 94.98 94.98
Fractional positions:
Si 0.5000 0.5000 0.5000
Ir 0.5000 0.0000 0.0000
Sb 0.0000 0.0000 0.5000
Sb 0.0000 0.5000 0.0000

Entry from Alexandria: a PBEsol-optimized structure of TaSb2Ir (SCAN).

Values from the calculation:
DOS(E_F) = 0.3692 states/eV per atom
Size of the total moment = 0.00 μB per formula unit
Energy relative to the elements, uncorrected = -38 kJ/mol of formula units

abc: 3.0171 3.0123 9.0050
angles: 90.00 90.00 90.00
Fractional positions:
Ta 0.0000 0.0000 0.5339
Ir 0.5000 0.5000 0.7311
Sb 0.0000 0.0000 0.9392
Sb 0.5000 0.5000 0.2959

Entry from Alexandria: a PBEsol-optimized structure of TaSb2TeIr (SCAN).

Values from the calculation:
DOS(E_F) = 0.9475 states/eV per atom
Size of the total moment = 2.71 μB per formula unit
Energy relative to the elements, uncorrected = 549 kJ/mol of formula units

abc: 4.9867 4.9867 5.2433
angles: 90.00 90.00 90.00
Site moments in Bohr magnetons follow the coordinates.
Fractional positions:
Ta 0.5000 0.5000 0.5000  1.82
Ir 0.0000 0.0000 0.0000  0.04
Sb 0.5000 0.0000 0.0000  0.00
Te 0.0000 0.0000 0.5000  -0.12
Sb 0.0000 0.5000 0.0000  0.00

Entry from Alexandria: a PBEsol-optimized structure of TaSb2TeIr (SCAN).

Values from the calculation:
DOS(E_F) = 0.9426 states/eV per atom
Size of the total moment = 1.48 μB per formula unit
Energy relative to the elements, uncorrected = 653 kJ/mol of formula units

abc: 5.1309 5.1978 5.1978
angles: 90.00 90.00 90.00
Site moments in Bohr magnetons follow the coordinates.
Fractional positions:
Te 0.5000 0.0000 0.0000  -0.02
Ta 0.0000 0.0000 0.0000  0.13
Sb 0.0000 0.5000 0.0000  -0.03
Sb 0.0000 0.0000 0.5000  -0.03
Ir 0.5000 0.5000 0.5000  1.35

Entry from Alexandria: a PBEsol-optimized structure of TcSbIr4 (SCAN).

Values from the calculation:
DOS(E_F) = 1.2181 states/eV per atom
Size of the total moment = 4.01 μB per formula unit
Energy relative to the elements, uncorrected = 366 kJ/mol of formula units

abc: 5.1766 5.1766 5.1766
angles: 60.00 60.00 60.00
Site moments in Bohr magnetons follow the coordinates.
Fractional positions:
Ir 0.3743 0.3743 0.8770  0.26
Ir 0.3743 0.3743 0.3743  0.26
Ir 0.3743 0.8770 0.3743  0.26
Tc 0.0000 0.0000 0.0000  2.80
Sb 0.7500 0.7500 0.7500  0.06
Ir 0.8770 0.3743 0.3743  0.26

Entry from Alexandria: a PBEsol-optimized structure of Tc2SbIr (SCAN).

Values from the calculation:
DOS(E_F) = 0.7006 states/eV per atom
Size of the total moment = 0.00 μB per formula unit
Energy relative to the elements, uncorrected = 89 kJ/mol of formula units

abc: 2.9122 2.9122 7.3200
angles: 90.00 90.00 90.00
Fractional positions:
Ir 0.0000 0.0000 0.4907
Tc 0.0000 0.0000 0.0172
Tc 0.5000 0.5000 0.2400
Sb 0.5000 0.5000 0.7522

Entry from Alexandria: a PBEsol-optimized structure of TcSbIr (SCAN).

Values from the calculation:
DOS(E_F) = 1.1241 states/eV per atom
Size of the total moment = 0.00 μB per formula unit
Energy relative to the elements, uncorrected = 68 kJ/mol of formula units

abc: 4.2886 4.2886 4.2886
angles: 60.00 60.00 60.00
Fractional positions:
Tc 0.2500 0.2500 0.2500
Sb 0.5000 0.5000 0.5000
Ir 0.0000 0.0000 0.0000